(1)
VASP calculation (PBE) on a relaxed structure of Er7Pb4C.

Its total moment is 0.00 μB/f.u. The value obtained for the formation energy is -4.58 kcal/mol of atoms. The value obtained for the density is 9358 kg/m3.

Unit cell a=5.006 b=9.266 c=8.430 alpha=79.13 beta=72.73 gamma=74.33
Element x y z (fractional)
1 Er 0.774 0.866 0.587
2 Er 0.226 0.134 0.413
3 Er 0.061 0.758 0.120
4 Er 0.939 0.242 0.880
5 Er 0.364 0.543 0.729
6 Er 0.500 0.000 0.000
7 Er 0.636 0.457 0.271
8 Pb 0.585 0.220 0.611
9 Pb 0.415 0.780 0.389
10 Pb 0.722 0.652 0.905
11 Pb 0.278 0.348 0.095
12 C 0.000 0.000 0.000

=====

(2)
VASP calculation (PBE) on a relaxed structure of Er7Pb2C2.

Its total moment is 0.04 μB/f.u. The value obtained for the formation energy is -4.55 kcal/mol of atoms. The value obtained for the density is 10015 kg/m3.

Unit cell a=3.480 b=9.201 c=9.201 alpha=68.45 beta=79.10 gamma=79.10
Element x y z (fractional)
1 Er 0.810 0.109 0.272
2 Er 0.841 0.382 0.936
3 Er 0.500 0.042 0.958
4 Er 0.642 0.462 0.254
5 Er 0.358 0.746 0.538
6 Er 0.190 0.728 0.891
7 Er 0.159 0.064 0.618
8 Pb 0.000 0.776 0.224
9 Pb 0.500 0.365 0.635
10 C 0.737 0.852 0.674
11 C 0.263 0.326 0.148